No. 1
DFT (PBE-GGA) results for a relaxed structure of Ti2BeTeO.

a = 4.7940 Å, b = 3.2578 Å, c = 4.7940 Å
α = 90.00°, β = 90.00°, γ = 90.00°
Element x y z (fractional)
Be (0.0000, 0.0000, 0.0000)
Te (0.5000, 0.5000, 0.5000)
O (0.0000, 0.5000, 0.0000)
Ti (0.0000, 0.0000, 0.5000)
Ti (0.5000, 0.0000, 0.0000)

The calculation puts the uncorrected formation energy at -362 meV per atom.

=====

No. 2
DFT (PBE-GGA) results for a relaxed structure of BeTlTe2O8.

a = 4.8908 Å, b = 4.8900 Å, c = 6.3324 Å
α = 90.00°, β = 90.00°, γ = 81.90°
Element x y z (fractional)
Be (0.0000, 0.0000, 0.0000)
Tl (0.0000, 0.0000, 0.5000)
Te (0.5000, 0.5000, 0.7632)
Te (0.5000, 0.5000, 0.2368)
O (0.1908, 0.8090, 0.2125)
O (0.6808, 0.6811, 0.0000)
O (0.8092, 0.1910, 0.2125)
O (0.8092, 0.1910, 0.7875)
O (0.3192, 0.3189, 0.0000)
O (0.1908, 0.8090, 0.7875)
O (0.6687, 0.6689, 0.5000)
O (0.3313, 0.3311, 0.5000)

The calculation puts the uncorrected formation energy at -981 meV per atom.

=====

No. 3
DFT (PBE-GGA) results for a relaxed structure of Be2TlTeO8.

a = 5.3479 Å, b = 5.3479 Å, c = 6.1344 Å
α = 90.00°, β = 90.00°, γ = 120.00°
Site moments in Bohr magnetons follow the coordinates.
Element x y z (fractional)
Be (0.6667, 0.3333, 0.2502)  -0.02
Be (0.3333, 0.6667, 0.7498)  -0.02
Tl (0.0000, 0.0000, 0.5000)  -0.02
Te (0.0000, 0.0000, 0.0000)  -0.01
O (0.8383, 0.1617, 0.2013)  0.09
O (0.8383, 0.6765, 0.2013)  0.09
O (0.3235, 0.1617, 0.2013)  0.09
O (0.6765, 0.8383, 0.7987)  0.09
O (0.3333, 0.6667, 0.4835)  0.99
O (0.6667, 0.3333, 0.5165)  0.99
O (0.1617, 0.8383, 0.7987)  0.09
O (0.1617, 0.3235, 0.7987)  0.09

The calculation puts the uncorrected formation energy at -895 meV per atom.

=====

No. 4
DFT (PBE-GGA) results for a relaxed structure of Be2Tl2TeO6.

a = 5.3653 Å, b = 5.3653 Å, c = 7.2314 Å
α = 68.22°, β = 68.22°, γ = 60.00°
Element x y z (fractional)
Be (0.3851, 0.3851, 0.8447)
Be (0.6149, 0.6149, 0.1553)
Tl (0.7879, 0.7879, 0.6363)
Tl (0.2121, 0.2121, 0.3637)
Te (0.0000, 0.0000, 0.0000)
O (0.7734, 0.7734, 0.1773)
O (0.2760, 0.7734, 0.1773)
O (0.7734, 0.2760, 0.1773)
O (0.2266, 0.7240, 0.8227)
O (0.7240, 0.2266, 0.8227)
O (0.2266, 0.2266, 0.8227)

The calculation puts the uncorrected formation energy at -1482 meV per atom.

=====

No. 5
DFT (PBE-GGA) results for a relaxed structure of Be2Zn2TeO6.

a = 5.2122 Å, b = 5.2122 Å, c = 6.3271 Å
α = 90.00°, β = 90.00°, γ = 120.00°
Element x y z (fractional)
Be (0.3333, 0.6667, 0.7857)
Be (0.6667, 0.3333, 0.2143)
Zn (0.3333, 0.6667, 0.2439)
Zn (0.6667, 0.3333, 0.7561)
Te (0.0000, 0.0000, 0.0000)
O (0.3167, 0.3612, 0.7926)
O (0.0445, 0.6833, 0.7926)
O (0.6388, 0.9555, 0.7926)
O (0.6833, 0.6388, 0.2074)
O (0.9555, 0.3167, 0.2074)
O (0.3612, 0.0445, 0.2074)

The calculation puts the uncorrected formation energy at -1552 meV per atom.

=====

No. 6
DFT (PBE-GGA) results for a relaxed structure of BeZnTe2O6.

a = 5.2014 Å, b = 8.9318 Å, c = 8.9318 Å
α = 111.74°, β = 71.72°, γ = 71.72°
Element x y z (fractional)
Be (0.2500, 0.1992, 0.8008)
Be (0.7500, 0.8008, 0.1992)
Zn (0.2500, 0.8059, 0.1941)
Zn (0.7500, 0.1941, 0.8059)
Te (0.3884, 0.7717, 0.5461)
Te (0.1116, 0.4539, 0.2283)
Te (0.6116, 0.2283, 0.4539)
Te (0.8884, 0.5461, 0.7717)
O (0.1639, 0.0302, 0.7543)
O (0.3361, 0.2457, 0.9698)
O (0.8361, 0.9698, 0.2457)
O (0.6639, 0.7543, 0.0302)
O (0.4259, 0.8478, 0.3661)
O (0.0741, 0.6339, 0.1522)
O (0.5741, 0.1522, 0.6339)
O (0.9259, 0.3661, 0.8478)
O (0.2765, 0.5334, 0.7227)
O (0.2235, 0.2773, 0.4666)
O (0.7235, 0.4666, 0.2773)
O (0.7765, 0.7227, 0.5334)

The calculation puts the uncorrected formation energy at -1395 meV per atom.

=====

No. 7
DFT (PBE-GGA) results for a relaxed structure of ThBeO3.

a = 3.6588 Å, b = 3.6588 Å, c = 3.6588 Å
α = 90.00°, β = 90.00°, γ = 90.00°
Element x y z (fractional)
Th (0.0000, 0.0000, 0.0000)
Be (0.5000, 0.5000, 0.5000)
O (0.5000, 0.5000, 0.0000)
O (0.5000, 0.0000, 0.5000)
O (0.0000, 0.5000, 0.5000)

The calculation puts the uncorrected formation energy at -3041 meV per atom.

=====

No. 8
DFT (PBE-GGA) results for a relaxed structure of TiBeO2.

a = 5.7663 Å, b = 5.7663 Å, c = 5.7663 Å
α = 29.02°, β = 29.02°, γ = 29.02°
Element x y z (fractional)
Be (0.0000, 0.0000, 0.0000)
O (0.9104, 0.9104, 0.9104)
O (0.0896, 0.0896, 0.0896)
Ti (0.5000, 0.5000, 0.5000)

The calculation puts the uncorrected formation energy at -2104 meV per atom.

=====

No. 9
DFT (PBE-GGA) results for a relaxed structure of Ti2BeO.

a = 4.0507 Å, b = 4.0507 Å, c = 4.0507 Å
α = 60.00°, β = 60.00°, γ = 60.00°
Element x y z (fractional)
Be (0.0000, 0.0000, 0.0000)
O (0.5000, 0.5000, 0.5000)
Ti (0.2500, 0.2500, 0.2500)
Ti (0.7500, 0.7500, 0.7500)

The calculation puts the uncorrected formation energy at -256 meV per atom. As for the excess energy over the best structure of this formula in the dataset: 507 meV per atom.

=====

No. 10
DFT (PBE-GGA) results for a relaxed structure of Ti2BeO.

a = 2.7359 Å, b = 2.7359 Å, c = 8.0900 Å
α = 80.27°, β = 80.27°, γ = 60.00°
Element x y z (fractional)
Be (0.0000, 0.0000, 0.0000)
O (0.5000, 0.5000, 0.5000)
Ti (0.1064, 0.1064, 0.6809)
Ti (0.8936, 0.8936, 0.3191)

The calculation puts the uncorrected formation energy at -685 meV per atom. As for the excess energy over the best structure of this formula in the dataset: 78 meV per atom.

=====

No. 11
DFT (PBE-GGA) results for a relaxed structure of Ti2BeO.

a = 4.9538 Å, b = 4.9538 Å, c = 5.9804 Å
α = 65.53°, β = 65.53°, γ = 90.00°
Element x y z (fractional)
Be (0.5000, 0.5000, 0.0000)
Be (0.2500, 0.7500, 0.5000)
O (0.0000, 0.0000, 0.0000)
O (0.7500, 0.2500, 0.5000)
Ti (0.6948, 0.1250, 0.2500)
Ti (0.0552, 0.6250, 0.2500)
Ti (0.3750, 0.3052, 0.7500)
Ti (0.8750, 0.9448, 0.7500)

The calculation puts the uncorrected formation energy at -763 meV per atom. As for the excess energy over the best structure of this formula in the dataset: 0 meV per atom.

=====

No. 12
DFT (PBE-GGA) results for a relaxed structure of Ti4Be2O.

a = 3.8940 Å, b = 3.8940 Å, c = 6.9819 Å
α = 73.81°, β = 73.81°, γ = 90.00°
Element x y z (fractional)
Be (0.3697, 0.3697, 0.2606)
Be (0.6303, 0.6303, 0.7394)
O (0.0000, 0.0000, 0.0000)
Ti (0.1732, 0.1732, 0.6536)
Ti (0.8268, 0.8268, 0.3464)
Ti (0.0000, 0.5000, 0.0000)
Ti (0.5000, 0.0000, 0.0000)

The calculation puts the uncorrected formation energy at -603 meV per atom.

=====

Per-record total energy, eV/cell: -29.4; -63.8; -63.4; -61.4; -60.0; -110.0; -41.2; -30.0; -25.5; -27.2; -55.1; -48.2
Per-record volume, Å³/f.u.: 75; 150; 152; 163; 149; 160; 49; 40; 47; 51; 59; 97
Per-record DOS(E_F), states/eV per atom: 0.872; 0.126; 0.408; 0.000; 0.000; 0.000; 0.000; 0.448; 1.102; 0.623; 0.073; 0.696